This record from the Alexandria database describes an optimized crystal structure of Ce2PuAl4Au3. The functional is PBE.

a = 4.434 Å, b = 4.434 Å, c = 11.153 Å
α = 90.00°, β = 90.00°, γ = 90.00°
Each line ends with the local moment (μB).
Fractional positions:
Al1 0.000 0.000 0.000  0.00
Ce1 0.000 0.500 0.745  0.77
Al2 0.500 0.500 0.000  0.00
Al3 0.500 0.000 0.663  0.01
Au1 0.000 0.000 0.500  0.03
Au2 0.500 0.000 0.882  0.00
Al4 0.000 0.500 0.337  0.01
Pu1 0.500 0.500 0.500  5.38
Au3 0.000 0.500 0.118  0.00
Ce2 0.500 0.000 0.255  0.77

Properties
Space-group type = P-4m2 (115)
Crystal system = tetragonal



This record from the Alexandria database describes an optimized crystal structure of Ce2Al4RhAu3. The functional is PBE.

a = 4.358 Å, b = 4.358 Å, c = 10.488 Å
α = 90.00°, β = 90.00°, γ = 90.00°
Each line ends with the local moment (μB).
Fractional positions:
Ce1 0.000 0.500 0.745  0.74
Au1 0.000 0.000 0.500  0.01
Au2 0.000 0.500 0.135  0.00
Al1 0.500 0.000 0.624  0.00
Rh1 0.500 0.500 0.500  -0.02
Au3 0.500 0.000 0.865  0.00
Al2 0.000 0.500 0.376  0.00
Al3 0.500 0.500 0.000  0.00
Ce2 0.500 0.000 0.255  0.74
Al4 0.000 0.000 0.000  0.00

Properties
Space-group type = P-4m2 (115)
Crystal system = tetragonal



This record from the Alexandria database describes an optimized crystal structure of Ce2ScAl4Au3. The functional is PBE.

a = 4.315 Å, b = 4.315 Å, c = 11.377 Å
α = 90.00°, β = 90.00°, γ = 90.00°
Each line ends with the local moment (μB).
Fractional positions:
Ce1 0.500 0.000 0.242  0.62
Al1 0.500 0.000 0.653  -0.01
Ce2 0.000 0.500 0.758  0.62
Al2 0.000 0.000 0.000  0.00
Al3 0.500 0.500 0.000  0.00
Au1 0.000 0.000 0.500  -0.01
Al4 0.000 0.500 0.347  -0.01
Au2 0.000 0.500 0.126  -0.01
Au3 0.500 0.000 0.874  -0.01
Sc1 0.500 0.500 0.500  -0.04

Properties
Space-group type = P-4m2 (115)
Crystal system = tetragonal



Calculated formation energy from the elements, -0.45 -0.71 -0.60 eV per atom (same order as the records).